# 1
# EuLu2Al, optimized geometry, DFT PBE
data_EuLu2Al
_chemical_formula_sum 'Eu3 Lu6 Al3'
_cell_length_a 3.4614
_cell_length_b 3.4614
_cell_length_c 34.0594
_cell_angle_alpha 90.00
_cell_angle_beta 90.00
_cell_angle_gamma 120.00
_space_group_name_H-M_alt 'R -3 m'
_space_group_IT_number 166
_space_group_name_Hall '-R 3 2"'
loop_
_atom_site_label
_atom_site_type_symbol
_atom_site_fract_x
_atom_site_fract_y
_atom_site_fract_z
Eu1 Eu 0.0000 0.0000 0.0000
Lu1 Lu 0.0000 0.0000 0.1010
Al1 Al 0.0000 0.0000 0.5000
# total magnetic moment: 7.6 μB/f.u.
# polymorph energy (0 for the lowest one): 0.243 eV/atom
# total DFT energy (no corrections): -5.674 eV per atom
# volume: 353.40 Å³ per cell

---

# 2
# EuLuAl, optimized geometry, DFT PBE
data_EuLuAl
_chemical_formula_sum 'Eu2 Lu2 Al2'
_cell_length_a 3.634
_cell_length_b 3.634
_cell_length_c 12.810
_cell_angle_alpha 90.00
_cell_angle_beta 90.00
_cell_angle_gamma 90.00
_space_group_name_H-M_alt 'I 4 m m'
_space_group_IT_number 107
_space_group_name_Hall 'I 4 -2'
loop_
_atom_site_label
_atom_site_type_symbol
_atom_site_fract_x
_atom_site_fract_y
_atom_site_fract_z
Eu1 Eu 0.000 0.000 0.000
Lu1 Lu 0.000 0.000 0.284
Al1 Al 0.000 0.000 0.659
# total magnetic moment: 7.2 μB/f.u.
# polymorph energy (0 for the lowest one): 0.000 eV/atom
# total DFT energy (no corrections): -6.335 eV per atom
# volume: 169.18 Å³ per cell

---

- What is the formula in the first record?
  EuLu2Al